1.
Crystalline PPb at its relaxed geometry, computed with PBE.

Total energy: -8.93 eV per formula unit
Energy of formation from the pure elements: 0.18 eV per formula unit
V: 26.37 A^3/atom
Space group: R-3m, No. 166
Spin magnetization: 0.00 μB/cell

Unit cell a=10.960 b=10.960 c=10.960 alpha=17.64 beta=17.64 gamma=17.64
Fractional positions:
1 P 0.148 0.148 0.148
2 P 0.852 0.852 0.852
3 Pb 0.382 0.382 0.382
4 Pb 0.618 0.618 0.618


2.
Crystalline SrMgAu11 at its relaxed geometry, computed with PBE.

Total energy: -43.17 eV per formula unit
Energy of formation from the pure elements: -3.84 eV per formula unit
V: 19.87 A^3/atom
Space group: C2/m, No. 12
Spin magnetization: 0.00 μB/cell

Unit cell a=7.218 b=7.218 c=7.442 alpha=98.50 beta=98.50 gamma=133.97
Fractional positions:
1 Sr 0.000 0.000 0.000
2 Mg 0.000 0.000 0.500
3 Au 0.000 0.500 0.000
4 Au 0.009 0.664 0.649
5 Au 0.274 0.490 0.778
6 Au 0.336 0.991 0.351
7 Au 0.490 0.274 0.778
8 Au 0.500 0.000 0.000
9 Au 0.500 0.500 0.500
10 Au 0.510 0.726 0.222
11 Au 0.664 0.009 0.649
12 Au 0.726 0.510 0.222
13 Au 0.991 0.336 0.351


3.
Crystalline Ho2AgGe4Pt3 at its relaxed geometry, computed with PBE.

Total energy: -55.94 eV per formula unit
Energy of formation from the pure elements: -7.34 eV per formula unit
V: 19.02 A^3/atom
Space group: P-4m2, No. 115
Spin magnetization: 0.00 μB/cell

Unit cell a=4.259 b=4.259 c=10.487 alpha=90.00 beta=90.00 gamma=90.00
Fractional positions:
1 Ho 0.000 0.500 0.245
2 Ho 0.500 0.000 0.755
3 Ag 0.500 0.500 0.000
4 Ge 0.000 0.000 0.500
5 Ge 0.000 0.500 0.860
6 Ge 0.500 0.000 0.140
7 Ge 0.500 0.500 0.500
8 Pt 0.000 0.000 0.000
9 Pt 0.000 0.500 0.629
10 Pt 0.500 0.000 0.371


4.
Crystalline Sc2AsO at its relaxed geometry, computed with PBE.

Raw formation energy: -510 kJ/mol of formula units
Total energy: -27.55 eV per formula unit
V: 15.88 A^3/atom
Space group: Fm-3m, No. 225
Polymorph energy (0 for the lowest one): 566.3 meV/atom
Spin magnetization: 0.87 μB/cell

Unit cell a=4.478 b=4.478 c=4.478 alpha=60.00 beta=60.00 gamma=60.00
Fractional positions:
1 Sc 0.250 0.250 0.250
2 Sc 0.750 0.750 0.750
3 As 0.000 0.000 0.000
4 O 0.500 0.500 0.500


Q: Which of these has the lowest V?
A: Sc2AsO


Q: Which of these has the lowest total energy?
A: Ho2AgGe4Pt3